Entry 1:
The following is a DFT calculation (PBE) of a geometry-optimized TlHgW2 structure.

The structure belongs to space group I-42d (No. 122); the cell edges are 7.641, 7.641 and 5.633 Å and the angles 90.00°, 90.00° and 90.00°. The distinct sites, in fractional coordinates, are Tl at (0.000, 0.000, 0.000), Hg at (0.000, 0.000, 0.500) and W at (0.246, 0.750, 0.625).

As for the total magnetization: 0.000 μB/atom. The formation energy is 6.4 eV/f.u. As for the density of states at the Fermi level: 30.7 states/eV/cell. The calculation puts the total energy at -5.54 eV/atom. Its volume is 20.6 A^3/atom.

***

Entry 2:
The following is a DFT calculation (PBE) of a geometry-optimized In3F8 structure.

The structure belongs to space group Pm-3m (No. 221); the cell edges are 5.362, 5.362 and 5.362 Å and the angles 90.00°, 90.00° and 90.00°. The distinct sites, in fractional coordinates, are In at (0.000, 0.000, 0.500) and F at (0.239, 0.239, 0.239).

As for the total magnetization: 0.000 μB/atom. As for the density of states at the Fermi level: 0.8 states/eV/cell. The calculation puts the total energy at -4.44 eV/atom. For the uncorrected formation energy, the calculation gives -2.329 eV/atom. Its volume is 14.0 A^3/atom.